DFT (PBE) results for a geometry-optimized Mg8Cd3In3 structure.

Summary:
energy of formation: 32 kJ/mol of formula units

POSCAR file:
```
Mg8Cd3In3
1.0
5.9681 -5.7253 0.0000
5.9681 5.7253 0.0000
-0.7637 0.0000 4.9747
Mg Cd In
8 3 3
Direct
0.0918 0.6437 0.9351
0.2241 0.4862 0.4312
0.3563 0.9082 0.0649
0.4862 0.2241 0.4312
0.5138 0.7759 0.5688
0.6437 0.0918 0.9351
0.7759 0.5138 0.5688
0.9082 0.3563 0.0649
0.0000 0.0000 0.0000
0.1467 0.8533 0.5000
0.8533 0.1467 0.5000
0.2433 0.2433 0.8672
0.5000 0.5000 0.0000
0.7567 0.7567 0.1328
```


DFT (PBE) results for a geometry-optimized Ho6Ag5Rh structure.

Summary:
energy of formation: -492 kJ/mol of formula units

POSCAR file:
```
Ho6Ag5Rh
1.0
2.5254 -7.5957 0.0000
2.5254 7.5957 0.0000
0.0000 0.0000 7.1930
Ho Ag Rh
6 5 1
Direct
0.0000 0.0000 0.2369
0.0000 0.0000 0.7631
0.3403 0.6597 0.2442
0.3403 0.6597 0.7558
0.6597 0.3403 0.2442
0.6597 0.3403 0.7558
0.1674 0.8326 0.5000
0.1737 0.8263 0.0000
0.5000 0.5000 0.5000
0.8263 0.1737 0.0000
0.8326 0.1674 0.5000
0.5000 0.5000 0.0000
```


DFT (PBE) results for a geometry-optimized GePbAu3 structure.

Summary:
distance to the lowest polymorph of the same formula: 0.83 eV per formula unit
energy of formation: 78 kJ/mol of formula units

POSCAR file:
```
GePbAu3
1.0
4.9664 0.0000 0.0000
0.0000 4.9664 0.0000
0.0000 0.0000 4.9664
Ge Pb Au
1 1 3
Direct
0.0000 0.0000 0.0000
0.5000 0.5000 0.5000
0.0000 0.0000 0.5000
0.0000 0.5000 0.0000
0.5000 0.0000 0.0000
```